An optimized crystal structure of La5Lu, computed with PBE-GGA.

Cell: 8.2494 8.2494 5.2070 Å, 90.00 90.00 143.12°
Last column: nearest neighbours and their distance in Å.
Fractional coordinates of all 6 atoms:
La1 0.0000 0.0000 0.0000  8 La 3.67-3.68, 4 Lu 3.69
La2 0.1654 0.8346 0.5000  10 La 3.67-3.72, 2 Lu 3.68
La3 0.3342 0.6658 0.0000  2 Lu 3.68, 10 La 3.68-3.71
La4 0.6658 0.3342 0.0000  2 Lu 3.68, 10 La 3.68-3.71
La5 0.8346 0.1654 0.5000  10 La 3.67-3.72, 2 Lu 3.68
Lu1 0.5000 0.5000 0.5000  12 La 3.68-3.69

Computed properties:
* symmetry: Cmmm, No. 65
* D(E_F): 1.862 states/eV/atom
* magnetization: 0.000 μB/f.u.
* formation energy: 0.018 eV per atom



An optimized crystal structure of LaLu6, computed with PBE-GGA.

Cell: 7.0723 7.0723 7.0723 Å, 109.47 109.47 109.47°
Last column: nearest neighbours and their distance in Å.
Fractional coordinates of all 7 atoms:
La1 0.0000 0.0000 0.0000  24 Lu 4.57
Lu1 0.2500 0.5000 0.7500  4 Lu 2.89
Lu2 0.2500 0.7500 0.5000  4 Lu 2.89
Lu3 0.5000 0.2500 0.7500  4 Lu 2.89
Lu4 0.5000 0.7500 0.2500  4 Lu 2.89
Lu5 0.7500 0.2500 0.5000  4 Lu 2.89
Lu6 0.7500 0.5000 0.2500  4 Lu 2.89

Computed properties:
* symmetry: Im-3m, No. 229
* D(E_F): 2.131 states/eV/atom
* magnetization: 0.000 μB/f.u.
* formation energy: 1.462 eV per atom



An optimized crystal structure of LaLu2Mg, computed with PBE-GGA.

Cell: 5.5269 5.5269 5.5269 Å, 60.00 60.00 60.00°
Last column: nearest neighbours and their distance in Å.
Fractional coordinates of all 4 atoms:
La1 0.0000 0.0000 0.0000  8 Lu 3.38
Lu1 0.2500 0.2500 0.2500  4 La 3.38, 4 Mg 3.38
Lu2 0.7500 0.7500 0.7500  4 Mg 3.38, 4 La 3.38
Mg1 0.5000 0.5000 0.5000  8 Lu 3.38

Computed properties:
* symmetry: Fm-3m, No. 225
* D(E_F): 1.666 states/eV/atom
* energy above the most stable polymorph in this dataset: 0.150 eV/atom
* magnetization: 0.415 μB/f.u.
* formation energy: 0.147 eV per atom



An optimized crystal structure of LaLuMg2, computed with PBE-GGA.

Cell: 5.4402 5.4402 5.4402 Å, 60.00 60.00 60.00°
Last column: nearest neighbours and their distance in Å.
Fractional coordinates of all 4 atoms:
La1 0.0000 0.0000 0.0000  8 Mg 3.33
Lu1 0.5000 0.5000 0.5000  8 Mg 3.33
Mg1 0.2500 0.2500 0.2500  4 Lu 3.33, 4 La 3.33
Mg2 0.7500 0.7500 0.7500  4 Lu 3.33, 4 La 3.33

Computed properties:
* symmetry: Fm-3m, No. 225
* D(E_F): 1.147 states/eV/atom
* energy above the most stable polymorph in this dataset: 0.000 eV/atom
* magnetization: 0.000 μB/f.u.
* formation energy: -0.085 eV per atom



An optimized crystal structure of LaLuMg, computed with PBE-GGA.

Cell: 7.0121 7.0121 7.0121 Å, 149.05 149.05 44.34°
Last column: nearest neighbours and their distance in Å.
Fractional coordinates of all 3 atoms:
La1 0.0000 0.0000 0.0000  4 Mg 3.46, 4 Lu 3.56, 4 La 3.74
Lu1 0.3171 0.3171 0.0000  4 Mg 3.25, 4 La 3.56
Mg1 0.6720 0.6720 0.0000  4 Lu 3.25, 4 La 3.46

Computed properties:
* symmetry: I4mm, No. 107
* D(E_F): 1.439 states/eV/atom
* energy above the most stable polymorph in this dataset: 0.000 eV/atom
* magnetization: 0.202 μB/f.u.
* formation energy: -0.026 eV per atom



An optimized crystal structure of LaLuMg, computed with PBE-GGA.

Cell: 5.5181 5.5181 3.4360 Å, 90.00 90.00 120.00°
Last column: nearest neighbours and their distance in Å.
Fractional coordinates of all 3 atoms:
La1 0.0000 0.0000 0.0000  3 Mg 3.43, 2 La 3.44, 6 Lu 3.52-3.73
Lu1 0.6667 0.3333 0.4333  3 Mg 3.26, 2 Lu 3.44, 3 La 3.52
Mg1 0.3333 0.6667 0.6312  3 Lu 3.26, 3 La 3.43, 2 Mg 3.44

Computed properties:
* symmetry: P3m1, No. 156
* D(E_F): 1.530 states/eV/atom
* energy above the most stable polymorph in this dataset: 0.081 eV/atom
* magnetization: 0.000 μB/f.u.
* formation energy: 0.055 eV per atom